[1]
DFT (PBE) results for a geometry-optimized Ag7Cl structure.

It has space group Fm-3m (No. 225), with a = 8.3984 Å, b = 8.3984 Å, c = 8.3984 Å, α = 90.00°, β = 90.00° and γ = 90.00°. The asymmetric unit holds Ag at (0.0000, 0.0000, 0.0000), Ag at (0.0000, 0.2500, 0.2500) and Cl at (0.0000, 0.0000, 0.5000).

The energy relative to the elements, uncorrected is 0.0527 eV per atom.

=====

[2]
DFT (PBE) results for a geometry-optimized AgCl3 structure.

It has space group P6_3/mmc (No. 194), with a = 9.0635 Å, b = 9.0635 Å, c = 3.4365 Å, α = 90.00°, β = 90.00° and γ = 120.00°. The asymmetric unit holds Ag at (0.3333, 0.6667, 0.2500) and Cl at (0.2109, 0.4218, 0.7500).

The energy relative to the elements, uncorrected is 0.0394 eV per atom.

=====

[3]
DFT (PBE) results for a geometry-optimized AgCl structure.

It has space group Fddd (No. 70, origin choice 2), with a = 8.7366 Å, b = 11.0841 Å, c = 11.7645 Å, α = 90.00°, β = 90.00° and γ = 90.00°. The asymmetric unit holds Ag at (0.1250, 0.2926, 0.1250) and Cl at (0.1250, 0.1250, 0.2964).

The energy relative to the elements, uncorrected is -0.3982 eV per atom.

=====

[4]
DFT (PBE) results for a geometry-optimized AgCl3 structure.

It has space group C2/m (No. 12), with a = 7.3086 Å, b = 4.0827 Å, c = 7.3547 Å, α = 90.00°, β = 99.75° and γ = 90.00°. The asymmetric unit holds Ag at (0.0000, 0.0000, 0.0000), Cl at (0.0000, 0.5000, 0.5000) and Cl at (0.1330, 0.5000, 0.8090).

The energy relative to the elements, uncorrected is -0.1898 eV per atom.

=====

[5]
DFT (PBE) results for a geometry-optimized Ag5Cl3 structure.

It has space group Cmmm (No. 65), with a = 6.8278 Å, b = 12.3805 Å, c = 4.1989 Å, α = 90.00°, β = 90.00° and γ = 90.00°. The asymmetric unit holds Ag at (0.0000, 0.0000, 0.0000), Ag at (0.2441, 0.0000, 0.5000), Ag at (0.2500, 0.2500, 0.0000), Cl at (0.0000, 0.2714, 0.5000) and Cl at (0.0000, 0.5000, 0.0000).

The energy relative to the elements, uncorrected is -0.0805 eV per atom.

=====

[6]
DFT (PBE) results for a geometry-optimized AgCl3 structure.

It has space group R-3m (No. 166, hexagonal axes), with a = 8.0695 Å, b = 8.0695 Å, c = 4.9039 Å, α = 90.00°, β = 90.00° and γ = 120.00°. The asymmetric unit holds Ag at (0.0000, 0.0000, 0.0000) and Cl at (0.0000, 0.5000, 0.0000).

The energy relative to the elements, uncorrected is 0.1426 eV per atom.

=====

[7]
DFT (PBE) results for a geometry-optimized AgCl structure.

It has space group Imma (No. 74), with a = 3.7287 Å, b = 3.7788 Å, c = 13.7238 Å, α = 90.00°, β = 90.00° and γ = 90.00°. The asymmetric unit holds Ag at (0.0000, 0.2500, 0.0850) and Cl at (0.0000, 0.2500, 0.6202).

The energy relative to the elements, uncorrected is -0.3623 eV per atom.

=====

[8]
DFT (PBE) results for a geometry-optimized AgCl3 structure.

It has space group Cmcm (No. 63), with a = 6.6956 Å, b = 20.3896 Å, c = 4.2600 Å, α = 90.00°, β = 90.00° and γ = 90.00°. The asymmetric unit holds Ag at (0.0000, 0.2369, 0.2500), Cl at (0.0000, 0.0154, 0.2500) and Cl at (0.2261, 0.1820, 0.7500).

The energy relative to the elements, uncorrected is -0.0973 eV per atom.

=====

[9]
DFT (PBE) results for a geometry-optimized AgCl3 structure.

It has space group Pmmn (No. 59, origin choice 2), with a = 4.9156 Å, b = 5.2636 Å, c = 11.0825 Å, α = 90.00°, β = 90.00° and γ = 90.00°. The asymmetric unit holds Ag at (0.2500, 0.2500, 0.0051), Cl at (0.2500, 0.0612, 0.6463) and Cl at (0.2500, 0.7500, 0.0735).

The energy relative to the elements, uncorrected is -0.1454 eV per atom.

=====

[10]
DFT (PBE) results for a geometry-optimized AgCl structure.

It has space group R-3m (No. 166, hexagonal axes), with a = 3.9554 Å, b = 3.9554 Å, c = 9.7341 Å, α = 90.00°, β = 90.00° and γ = 120.00°. The asymmetric unit holds Ag at (0.0000, 0.0000, 0.0000) and Cl at (0.0000, 0.0000, 0.5000).

The energy relative to the elements, uncorrected is -0.4179 eV per atom.

=====

[11]
DFT (PBE) results for a geometry-optimized AgCl structure.

It has space group Pmmn (No. 59, origin choice 2), with a = 4.2653 Å, b = 13.1322 Å, c = 5.5528 Å, α = 90.00°, β = 90.00° and γ = 90.00°. The asymmetric unit holds Ag at (0.2500, 0.1319, 0.0353), Ag at (0.2500, 0.7500, 0.6509), Cl at (0.2500, 0.2500, 0.6730) and Cl at (0.2500, 0.5635, 0.7530).

The energy relative to the elements, uncorrected is -0.4206 eV per atom.

=====

[12]
DFT (PBE) results for a geometry-optimized AgCl structure.

It has space group Pmn2_1 (No. 31), with a = 11.6847 Å, b = 4.1513 Å, c = 6.2551 Å, α = 90.00°, β = 90.00° and γ = 90.00°. The asymmetric unit holds Ag at (0.0000, 0.0958, 0.0000), Ag at (0.1846, 0.2847, 0.6663), Cl at (0.0000, 0.6217, 0.7276) and Cl at (0.1796, 0.1880, 0.2356).

The energy relative to the elements, uncorrected is -0.4279 eV per atom.

=====

[13]
DFT (PBE) results for a geometry-optimized AgCl structure.

It has space group Pm-3n (No. 223), with a = 7.4271 Å, b = 7.4271 Å, c = 7.4271 Å, α = 90.00°, β = 90.00° and γ = 90.00°. The asymmetric unit holds Ag at (0.0000, 0.2500, 0.5000) and Cl at (0.0000, 0.5000, 0.2500).

The energy relative to the elements, uncorrected is -0.4192 eV per atom.

=====

[14]
DFT (PBE) results for a geometry-optimized AgCl structure.

It has space group Fd-3m (No. 227, origin choice 2), with a = 6.8800 Å, b = 6.8800 Å, c = 6.8800 Å, α = 90.00°, β = 90.00° and γ = 90.00°. The asymmetric unit holds Ag at (0.1250, 0.1250, 0.1250) and Cl at (0.1250, 0.1250, 0.6250).

The energy relative to the elements, uncorrected is 0.0221 eV per atom.

=====

[15]
DFT (PBE) results for a geometry-optimized AgCl3 structure.

It has space group Pm-3m (No. 221), with a = 4.4647 Å, b = 4.4647 Å, c = 4.4647 Å, α = 90.00°, β = 90.00° and γ = 90.00°. The asymmetric unit holds Ag at (0.0000, 0.0000, 0.0000) and Cl at (0.0000, 0.5000, 0.5000).

The energy relative to the elements, uncorrected is 0.3577 eV per atom.

=====

[16]
DFT (PBE) results for a geometry-optimized AgCl3 structure.

It has space group R-3m (No. 166, hexagonal axes), with a = 3.9000 Å, b = 3.9000 Å, c = 21.0490 Å, α = 90.00°, β = 90.00° and γ = 120.00°. The asymmetric unit holds Ag at (0.0000, 0.0000, 0.0000), Cl at (0.0000, 0.0000, 0.2680) and Cl at (0.0000, 0.0000, 0.5000).

The energy relative to the elements, uncorrected is 0.0616 eV per atom.

=====

[17]
DFT (PBE) results for a geometry-optimized AgCl structure.

It has space group I4/m (No. 87), with a = 10.9991 Å, b = 10.9991 Å, c = 4.3430 Å, α = 90.00°, β = 90.00° and γ = 90.00°. The asymmetric unit holds Ag at (0.1166, 0.2982, 0.0000) and Cl at (0.1124, 0.7188, 0.0000).

The energy relative to the elements, uncorrected is -0.4155 eV per atom.

=====

[18]
DFT (PBE) results for a geometry-optimized AgCl3 structure.

It has space group P-6m2 (No. 187), with a = 3.7190 Å, b = 3.7190 Å, c = 7.9494 Å, α = 90.00°, β = 90.00° and γ = 120.00°. The asymmetric unit holds Ag at (0.0000, 0.0000, 0.0000), Cl at (0.0000, 0.0000, 0.5000) and Cl at (0.6667, 0.3333, 0.2008).

The energy relative to the elements, uncorrected is 0.1484 eV per atom.

=====

[19]
DFT (PBE) results for a geometry-optimized Ag5Cl4 structure.

It has space group I4/mmm (No. 139), with a = 9.3104 Å, b = 9.3104 Å, c = 4.3734 Å, α = 90.00°, β = 90.00° and γ = 90.00°. The asymmetric unit holds Ag at (0.0000, 0.0000, 0.0000), Ag at (0.1610, 0.1610, 0.5000) and Cl at (0.0000, 0.2907, 0.0000).

The energy relative to the elements, uncorrected is -0.1687 eV per atom.

=====

[20]
DFT (PBE) results for a geometry-optimized AgCl structure.

It has space group P4/m (No. 83), with a = 10.5265 Å, b = 10.5265 Å, c = 4.2846 Å, α = 90.00°, β = 90.00° and γ = 90.00°. The asymmetric unit holds Ag at (0.0945, 0.3908, 0.0000), Ag at (0.2246, 0.7266, 0.5000), Cl at (0.0930, 0.7543, 0.0000) and Cl at (0.2110, 0.4617, 0.5000).

The energy relative to the elements, uncorrected is -0.4040 eV per atom.

=====

[21]
DFT (PBE) results for a geometry-optimized Ag5Cl4 structure.

It has space group P6_3/mcm (No. 193), with a = 8.0726 Å, b = 8.0726 Å, c = 6.8608 Å, α = 90.00°, β = 90.00° and γ = 120.00°. The asymmetric unit holds Ag at (0.0000, 0.2740, 0.2500), Ag at (0.3333, 0.6667, 0.0000), Cl at (0.0000, 0.0000, 0.0000) and Cl at (0.0000, 0.4010, 0.7500).

The energy relative to the elements, uncorrected is -0.1709 eV per atom.

=====

[22]
DFT (PBE) results for a geometry-optimized AgCl3 structure.

It has space group P2/m (No. 10), with a = 4.7950 Å, b = 5.8660 Å, c = 5.0635 Å, α = 90.00°, β = 114.41° and γ = 90.00°. The asymmetric unit holds Ag at (0.0000, 0.0000, 0.0000), Cl at (0.1579, 0.5000, 0.4181) and Cl at (0.5000, 0.0000, 0.0000).

The energy relative to the elements, uncorrected is -0.1119 eV per atom.

=====

[23]
DFT (PBE) results for a geometry-optimized AgCl structure.

It has space group P-6m2 (No. 187), with a = 3.7952 Å, b = 3.7952 Å, c = 3.5366 Å, α = 90.00°, β = 90.00° and γ = 120.00°. The asymmetric unit holds Ag at (0.0000, 0.0000, 0.0000) and Cl at (0.6667, 0.3333, 0.5000).

The energy relative to the elements, uncorrected is -0.3710 eV per atom.

=====

[24]
DFT (PBE) results for a geometry-optimized Ag4Cl5 structure.

It has space group P-1 (No. 2), with a = 4.1012 Å, b = 6.8185 Å, c = 8.4414 Å, α = 94.20°, β = 100.19° and γ = 97.26°. The asymmetric unit holds Ag at (0.1767, 0.2684, 0.0921), Ag at (0.1856, 0.7754, 0.4176), Cl at (0.1358, 0.4373, 0.8243), Cl at (0.2550, 0.1754, 0.3851) and Cl at (0.5000, 0.0000, 0.0000).

The energy relative to the elements, uncorrected is -0.4107 eV per atom.

=====

no.,total magnetization (μB/f.u.)
1,0.000
2,1.984
3,0.000
4,0.000
5,0.000
6,1.096
7,0.000
8,0.000
9,0.000
10,0.000
11,0.000
12,0.000
13,0.000
14,0.000
15,2.024
16,0.869
17,0.000
18,1.789
19,0.000
20,0.000
21,0.000
22,0.000
23,0.000
24,0.000